<P>
# CuRuI, relaxed, DFT PBE-GGA
# - Symmetry: P1
# - DOS at the Fermi energy: 2.356 states/eV/f.u.
# - M_tot: 0.001 μB/cell
data_CuRuI
_chemical_formula_sum 'Cu2 Ru2 I2'
_cell_length_a 3.7233
_cell_length_b 3.9929
_cell_length_c 9.3590
_cell_angle_alpha 81.05
_cell_angle_beta 89.81
_cell_angle_gamma 89.99
_space_group_name_H-M_alt 'P 1'
_space_group_IT_number 1
loop_
_space_group_symop_operation_xyz
'x,y,z'
loop_
_atom_site_label
_atom_site_type_symbol
_atom_site_fract_x
_atom_site_fract_y
_atom_site_fract_z
_atom_site_occupancy
Ru1 Ru 0.3940 0.7673 0.6726 1
I1 I 0.3911 0.7710 0.1103 1
Cu1 Cu 0.8913 0.8348 0.8851 1
I2 I 0.8958 0.1020 0.4712 1
Cu2 Cu 0.3916 0.3160 0.9063 1
Ru2 Ru 0.8938 0.3928 0.6997 1



<Q>
# CuRuI, relaxed, DFT PBE-GGA
# - Symmetry: Cm
# - DOS at the Fermi energy: 2.135 states/eV/f.u.
# - M_tot: 0.001 μB/cell
data_CuRuI
_chemical_formula_sum 'Cu4 Ru4 I4'
_cell_length_a 10.8916
_cell_length_b 3.8783
_cell_length_c 6.7153
_cell_angle_alpha 90.00
_cell_angle_beta 101.70
_cell_angle_gamma 90.00
_space_group_name_H-M_alt 'P 1'
_space_group_IT_number 1
loop_
_space_group_symop_operation_xyz
'x,y,z'
loop_
_atom_site_label
_atom_site_type_symbol
_atom_site_fract_x
_atom_site_fract_y
_atom_site_fract_z
_atom_site_occupancy
Cu1 Cu 0.1393 0.0000 0.8126 1
Ru1 Ru 0.2738 0.0000 0.5234 1
Cu2 Cu 0.0459 0.0000 0.1152 1
Ru2 Ru 0.3709 0.0000 0.8887 1
I1 I 0.5289 0.0000 0.2740 1
Ru3 Ru 0.3709 0.5000 0.3887 1
Ru4 Ru 0.2738 0.5000 0.0234 1
I2 I 0.8960 0.0000 0.7327 1
I3 I 0.8960 0.5000 0.2327 1
Cu3 Cu 0.1393 0.5000 0.3126 1
I4 I 0.5289 0.5000 0.7740 1
Cu4 Cu 0.0459 0.5000 0.6152 1



<R>
# CuRuI, relaxed, DFT PBE-GGA
# - Symmetry: P3m1
# - DOS at the Fermi energy: 2.468 states/eV/f.u.
# - M_tot: 0.002 μB/cell
data_CuRuI
_chemical_formula_sum 'Cu2 Ru2 I2'
_cell_length_a 3.9627
_cell_length_b 3.9627
_cell_length_c 10.1441
_cell_angle_alpha 90.00
_cell_angle_beta 90.00
_cell_angle_gamma 120.00
_space_group_name_H-M_alt 'P 1'
_space_group_IT_number 1
loop_
_space_group_symop_operation_xyz
'x,y,z'
loop_
_atom_site_label
_atom_site_type_symbol
_atom_site_fract_x
_atom_site_fract_y
_atom_site_fract_z
_atom_site_occupancy
Cu1 Cu 0.6667 0.3333 0.8511 1
Cu2 Cu 0.0000 0.0000 0.9665 1
I1 I 0.6667 0.3333 0.4712 1
Ru1 Ru 0.3333 0.6667 0.6382 1
I2 I 0.3333 0.6667 0.1021 1
Ru2 Ru 0.0000 0.0000 0.7162 1



Verdict on stability: <Q> comes out on top.